Entry 1:
Here is a geometry-optimized HgP2Au structure from Alexandria via LeMat-Bulk. Energies are from PBE.

Unit cell a=5.763 b=5.763 c=5.329 alpha=114.53 beta=114.53 gamma=33.01
Sites, in units of the cell vectors:
Hg (0.000, 0.000, 0.000)
P (0.261, 0.261, 0.369)
P (0.739, 0.739, 0.631)
Au (0.500, 0.500, 0.500)

* total energy: -14.37 eV/cell
* energy of formation: 0.008 eV per atom
* calculated volume: 21.73 A^3/atom

Entry 2:
Here is a geometry-optimized HgPAu structure from Alexandria via LeMat-Bulk. Energies are from PBE.

Unit cell a=4.947 b=4.947 c=2.807 alpha=90.00 beta=90.00 gamma=120.00
Sites, in units of the cell vectors:
Hg (0.000, 0.000, 0.000)
P (0.333, 0.667, 0.000)
Au (0.667, 0.333, 0.000)

* total energy: -7.82 eV/cell
* energy of formation: 0.390 eV per atom
* calculated volume: 19.83 A^3/atom

Entry 3:
Here is a geometry-optimized HgP2Au structure from Alexandria via LeMat-Bulk. Energies are from PBE.

Unit cell a=4.386 b=3.717 c=5.409 alpha=90.00 beta=102.54 gamma=90.00
Sites, in units of the cell vectors:
Hg (0.000, 0.000, 0.000)
P (0.210, 0.500, 0.648)
P (0.790, 0.500, 0.352)
Au (0.500, 0.000, 0.500)

* total energy: -14.14 eV/cell
* energy of formation: 0.064 eV per atom
* calculated volume: 21.52 A^3/atom

Entry 4:
Here is a geometry-optimized HgPAu2 structure from Alexandria via LeMat-Bulk. Energies are from PBE.

Unit cell a=5.268 b=5.268 c=5.268 alpha=133.88 beta=133.88 gamma=67.27
Sites, in units of the cell vectors:
Hg (0.000, 0.000, 0.000)
P (0.500, 0.500, 0.000)
Au (0.250, 0.750, 0.500)
Au (0.750, 0.250, 0.500)

* total energy: -10.78 eV/cell
* energy of formation: 0.372 eV per atom
* relative energy among the computed polymorphs: 254.6 meV per atom
* calculated volume: 18.67 A^3/atom

Entry 5:
Here is a geometry-optimized Hg2PAu structure from Alexandria via LeMat-Bulk. Energies are from PBE.

Unit cell a=10.119 b=10.119 c=10.119 alpha=17.33 beta=17.33 gamma=17.33
Sites, in units of the cell vectors:
Hg (0.249, 0.249, 0.249)
Hg (0.751, 0.751, 0.751)
P (0.500, 0.500, 0.500)
Au (0.000, 0.000, 0.000)

* total energy: -7.56 eV/cell
* energy of formation: 0.432 eV per atom
* calculated volume: 20.07 A^3/atom

Entry 6:
Here is a geometry-optimized Hg2PAu structure from Alexandria via LeMat-Bulk. Energies are from PBE.

Unit cell a=3.836 b=4.000 c=5.551 alpha=90.00 beta=90.00 gamma=90.00
Sites, in units of the cell vectors:
Hg (0.000, 0.000, 0.000)
Hg (0.000, 0.500, 0.500)
P (0.500, 0.000, 0.500)
Au (0.500, 0.500, 0.000)

* total energy: -7.63 eV/cell
* energy of formation: 0.416 eV per atom
* calculated volume: 21.29 A^3/atom

Entry 7:
Here is a geometry-optimized HgP2Au structure from Alexandria via LeMat-Bulk. Energies are from PBE.

Unit cell a=7.126 b=7.126 c=7.126 alpha=132.95 beta=132.95 gamma=68.74
Sites, in units of the cell vectors:
Hg (0.000, 0.000, 0.000)
Hg (0.750, 0.250, 0.500)
P (0.156, 0.625, 0.031)
P (0.375, 0.406, 0.531)
P (0.594, 0.125, 0.969)
P (0.875, 0.844, 0.469)
Au (0.250, 0.750, 0.500)
Au (0.500, 0.500, 0.000)

* total energy: -25.90 eV/cell
* energy of formation: 0.362 eV per atom
* calculated volume: 23.80 A^3/atom

Entry 8:
Here is a geometry-optimized Hg2PAu structure from Alexandria via LeMat-Bulk. Energies are from PBE.

Unit cell a=4.570 b=4.525 c=5.673 alpha=90.00 beta=90.23 gamma=90.00
Sites, in units of the cell vectors:
Hg (0.000, 0.000, 0.000)
Hg (0.004, 0.500, 0.629)
P (0.501, 0.000, 0.174)
Au (0.502, 0.500, 0.291)

* total energy: -8.86 eV/cell
* energy of formation: 0.107 eV per atom
* calculated volume: 29.33 A^3/atom

Entry 9:
Here is a geometry-optimized HgPAu structure from Alexandria via LeMat-Bulk. Energies are from PBE.

Unit cell a=3.817 b=3.817 c=4.993 alpha=90.00 beta=90.00 gamma=120.00
Sites, in units of the cell vectors:
Hg (0.000, 0.000, 0.000)
P (0.667, 0.333, 0.373)
Au (0.333, 0.667, 0.604)

* total energy: -8.25 eV/cell
* energy of formation: 0.248 eV per atom
* calculated volume: 20.99 A^3/atom

Entry 10:
Here is a geometry-optimized HgPAu2 structure from Alexandria via LeMat-Bulk. Energies are from PBE.

Unit cell a=2.841 b=3.543 c=7.805 alpha=90.00 beta=90.23 gamma=90.00
Sites, in units of the cell vectors:
Hg (0.000, 0.000, 0.000)
P (0.500, 0.000, 0.500)
Au (0.496, 0.500, 0.267)
Au (0.504, 0.500, 0.733)

* total energy: -11.37 eV/cell
* energy of formation: 0.224 eV per atom
* relative energy among the computed polymorphs: 106.2 meV per atom
* calculated volume: 19.64 A^3/atom

Entry 11:
Here is a geometry-optimized HgPAu3 structure from Alexandria via LeMat-Bulk. Energies are from PBE.

Unit cell a=5.154 b=5.154 c=5.154 alpha=90.00 beta=90.00 gamma=90.00
Sites, in units of the cell vectors:
Hg (0.000, 0.000, 0.000)
P (0.500, 0.500, 0.500)
Au (0.000, 0.000, 0.500)
Au (0.000, 0.500, 0.000)
Au (0.500, 0.000, 0.000)

* total energy: -9.46 eV/cell
* energy of formation: 1.216 eV per atom
* relative energy among the computed polymorphs: 1035.5 meV per atom
* calculated volume: 27.38 A^3/atom

Entry 12:
Here is a geometry-optimized HgP2Au structure from Alexandria via LeMat-Bulk. Energies are from PBE.

Unit cell a=5.100 b=5.100 c=5.100 alpha=131.01 beta=131.01 gamma=71.79
Sites, in units of the cell vectors:
Hg (0.000, 0.000, 0.000)
P (0.250, 0.750, 0.500)
P (0.750, 0.250, 0.500)
Au (0.500, 0.500, 0.000)

* total energy: -11.68 eV/cell
* energy of formation: 0.680 eV per atom
* calculated volume: 18.47 A^3/atom

Entry 13:
Here is a geometry-optimized HgP2Au structure from Alexandria via LeMat-Bulk. Energies are from PBE.

Unit cell a=3.809 b=3.809 c=5.283 alpha=90.00 beta=90.00 gamma=90.00
Sites, in units of the cell vectors:
Hg (0.000, 0.000, 0.000)
P (0.000, 0.500, 0.500)
P (0.500, 0.000, 0.500)
Au (0.500, 0.500, 0.000)

* total energy: -11.90 eV/cell
* energy of formation: 0.625 eV per atom
* calculated volume: 19.16 A^3/atom

Entry 14:
Here is a geometry-optimized HgPAu3 structure from Alexandria via LeMat-Bulk. Energies are from PBE.

Unit cell a=4.824 b=4.824 c=4.824 alpha=90.00 beta=90.00 gamma=90.00
Sites, in units of the cell vectors:
Hg (0.000, 0.000, 0.000)
P (0.500, 0.500, 0.500)
Au (0.000, 0.500, 0.500)
Au (0.500, 0.000, 0.500)
Au (0.500, 0.500, 0.000)

* total energy: -14.64 eV/cell
* energy of formation: 0.181 eV per atom
* relative energy among the computed polymorphs: 0.0 meV per atom
* calculated volume: 22.45 A^3/atom

Entry 15:
Here is a geometry-optimized HgP2Au structure from Alexandria via LeMat-Bulk. Energies are from PBE.

Unit cell a=2.793 b=4.410 c=7.671 alpha=90.00 beta=90.00 gamma=90.00
Sites, in units of the cell vectors:
Hg (0.000, 0.000, 0.000)
P (0.500, 0.500, 0.359)
P (0.500, 0.500, 0.641)
Au (0.000, 0.000, 0.500)

* total energy: -12.91 eV/cell
* energy of formation: 0.372 eV per atom
* calculated volume: 23.63 A^3/atom